# 1
The following is a GGA-PBE calculation of OsRuCl2 after structural relaxation, from Alexandria.

Lattice parameters (Å, degrees): 5.7345 5.7345 6.0794 61.86 61.86 90.00
Element x y z (fractional)
Ru: 0.5000 0.5000 0.0000
Ru: 0.2500 0.7500 0.5000
Cl: 0.8750 0.8776 0.7500
Cl: 0.6276 0.1250 0.2500
Cl: 0.1224 0.6250 0.2500
Cl: 0.3750 0.3724 0.7500
Os: 0.7500 0.2500 0.5000
Os: 0.0000 0.0000 0.0000

Its density of states at the Fermi level is 1.520 states/eV per atom. Its symmetry is I-42d. The uncorrected formation energy comes out at 1.33 eV/atom. For the mass density, the calculation gives 8.1 g cm⁻³.



# 2
The following is a GGA-PBE calculation of OsRuCl2 after structural relaxation, from Alexandria.

Lattice parameters (Å, degrees): 9.5483 9.5483 9.5483 17.90 17.90 17.90
Element x y z (fractional)
Os: 0.4923 0.4923 0.4923
Cl: 0.0230 0.0230 0.0230
Cl: 0.2282 0.2282 0.2282
Ru: 0.7565 0.7565 0.7565

Its density of states at the Fermi level is 1.367 states/eV per atom. Its symmetry is R3m. The uncorrected formation energy comes out at 0.31 eV/atom. For the mass density, the calculation gives 8.4 g cm⁻³.



# 3
The following is a GGA-PBE calculation of OsRuCl2 after structural relaxation, from Alexandria.

Lattice parameters (Å, degrees): 4.3290 4.3290 4.3290 109.57 109.57 109.28
Element x y z (fractional)
Ru: 0.7500 0.2500 0.5000
Cl: 0.0000 0.0000 0.0000
Cl: 0.2500 0.7500 0.5000
Os: 0.5000 0.5000 0.0000

Its density of states at the Fermi level is 0.909 states/eV per atom. Its symmetry is I-4m2. The uncorrected formation energy comes out at 1.12 eV/atom. For the mass density, the calculation gives 9.6 g cm⁻³.



# 4
The following is a GGA-PBE calculation of OsRuCl2 after structural relaxation, from Alexandria.

Lattice parameters (Å, degrees): 4.3531 4.3531 3.1077 90.00 90.00 90.06
Element x y z (fractional)
Ru: 0.0000 0.5000 0.5000
Cl: 0.0000 0.0000 0.0000
Cl: 0.5000 0.5000 0.0000
Os: 0.5000 0.0000 0.5000

Its density of states at the Fermi level is 1.240 states/eV per atom. Its symmetry is P4/mmm. The uncorrected formation energy comes out at 1.41 eV/atom. For the mass density, the calculation gives 10.2 g cm⁻³.



# 5
The following is a GGA-PBE calculation of OsRuCl2 after structural relaxation, from Alexandria.

Lattice parameters (Å, degrees): 2.9452 2.9801 8.8578 89.74 90.00 90.00
Element x y z (fractional)
Os: 0.0000 0.3764 0.5379
Cl: 0.5000 0.3787 0.3220
Cl: 0.0000 0.8709 0.9285
Ru: 0.5000 0.8740 0.7116

Its density of states at the Fermi level is 0.775 states/eV per atom. Its symmetry is Pm. The uncorrected formation energy comes out at 0.10 eV/atom. For the mass density, the calculation gives 7.7 g cm⁻³.



# 6
The following is a GGA-PBE calculation of OsRuS2Cl after structural relaxation, from Alexandria.

Lattice parameters (Å, degrees): 4.5479 4.5479 4.9499 90.00 90.00 90.00
Last column: magnetic moment on the atom in μB.
Element x y z (fractional)
Os: 0.0000 0.0000 0.0000  -0.37
Cl: 0.0000 0.0000 0.5000  0.06
Ru: 0.5000 0.5000 0.5000  2.64
S: 0.0000 0.5000 0.0000  0.04
S: 0.5000 0.0000 0.0000  0.04

Its density of states at the Fermi level is 1.060 states/eV per atom. Its symmetry is P4/mmm. The uncorrected formation energy comes out at 1.05 eV/atom. For the mass density, the calculation gives 6.3 g cm⁻³.



# 7
The following is a GGA-PBE calculation of OsRuSCl2 after structural relaxation, from Alexandria.

Lattice parameters (Å, degrees): 4.8429 4.8429 4.4853 90.00 90.00 90.00
Last column: magnetic moment on the atom in μB.
Element x y z (fractional)
Cl: 0.5000 0.0000 0.0000  0.09
Cl: 0.0000 0.5000 0.0000  0.09
S: 0.0000 0.0000 0.5000  0.03
Ru: 0.0000 0.0000 0.0000  -0.16
Os: 0.5000 0.5000 0.5000  3.34

Its density of states at the Fermi level is 0.720 states/eV per atom. Its symmetry is P4/mmm. The uncorrected formation energy comes out at 1.22 eV/atom. For the mass density, the calculation gives 6.2 g cm⁻³.



# 8
The following is a GGA-PBE calculation of OsRuS2Cl after structural relaxation, from Alexandria.

Lattice parameters (Å, degrees): 4.5814 4.5814 4.7374 90.00 90.00 90.00
Last column: magnetic moment on the atom in μB.
Element x y z (fractional)
Cl: 0.0000 0.0000 0.5000  0.10
S: 0.5000 0.0000 0.0000  0.04
S: 0.0000 0.5000 0.0000  0.04
Ru: 0.0000 0.0000 0.0000  -0.43
Os: 0.5000 0.5000 0.5000  3.15

Its density of states at the Fermi level is 1.110 states/eV per atom. Its symmetry is P4/mmm. The uncorrected formation energy comes out at 1.29 eV/atom. For the mass density, the calculation gives 6.5 g cm⁻³.



# 9
The following is a GGA-PBE calculation of OsRuSCl2 after structural relaxation, from Alexandria.

Lattice parameters (Å, degrees): 5.0155 5.0155 4.3629 90.00 90.00 90.00
Last column: magnetic moment on the atom in μB.
Element x y z (fractional)
Os: 0.0000 0.0000 0.0000  -0.11
Cl: 0.0000 0.5000 0.0000  0.04
Cl: 0.5000 0.0000 0.0000  0.04
S: 0.0000 0.0000 0.5000  0.01
Ru: 0.5000 0.5000 0.5000  2.68

Its density of states at the Fermi level is 0.636 states/eV per atom. Its symmetry is P4/mmm. The uncorrected formation energy comes out at 1.01 eV/atom. For the mass density, the calculation gives 6.0 g cm⁻³.



# 10
The following is a GGA-PBE calculation of Os2RuSCl after structural relaxation, from Alexandria.

Lattice parameters (Å, degrees): 4.3921 4.3654 4.3921 90.00 90.00 90.00
Element x y z (fractional)
Os: 0.0000 0.0000 0.5000
Os: 0.5000 0.0000 0.0000
S: 0.5000 0.5000 0.5000
Ru: 0.0000 0.5000 0.0000
Cl: 0.0000 0.0000 0.0000

Its density of states at the Fermi level is 1.247 states/eV per atom. Its symmetry is P4/mmm. The uncorrected formation energy comes out at 2.09 eV/atom. For the mass density, the calculation gives 10.8 g cm⁻³.



# 11
The following is a GGA-PBE calculation of Si2OsRuCl after structural relaxation, from Alexandria.

Lattice parameters (Å, degrees): 4.5327 5.2964 4.5327 90.00 90.00 90.00
Last column: magnetic moment on the atom in μB.
Element x y z (fractional)
Ru: 0.0000 0.5000 0.0000  2.63
Os: 0.0000 0.0000 0.0000  0.29
Si: 0.0000 0.0000 0.5000  0.02
Si: 0.5000 0.0000 0.0000  0.02
Cl: 0.5000 0.5000 0.5000  0.03

Its density of states at the Fermi level is 0.797 states/eV per atom. Its symmetry is P4/mmm. The uncorrected formation energy comes out at 0.78 eV/atom. For the mass density, the calculation gives 5.8 g cm⁻³.



# 12
The following is a GGA-PBE calculation of Th6OsRu2Cl3 after structural relaxation, from Alexandria.

Lattice parameters (Å, degrees): 4.1880 9.0074 9.8817 109.27 102.23 90.00
Element x y z (fractional)
Ru: 0.8327 0.6650 0.6654
Ru: 0.1673 0.3350 0.3346
Th: 0.6541 0.1159 0.3082
Th: 0.3200 0.4483 0.6399
Th: 0.9869 0.7814 0.9738
Th: 0.3459 0.8841 0.6918
Th: 0.0131 0.2186 0.0262
Th: 0.6800 0.5517 0.3601
Os: 0.5000 0.0000 0.0000
Cl: 0.8330 0.1646 0.6660
Cl: 0.5000 0.5000 0.0000
Cl: 0.1670 0.8354 0.3340

Its density of states at the Fermi level is 0.797 states/eV per atom. Its symmetry is C2/m. The uncorrected formation energy comes out at -0.92 eV/atom. For the mass density, the calculation gives 9.2 g cm⁻³.



# 13
The following is a GGA-PBE calculation of Y2OsRuCl after structural relaxation, from Alexandria.

Lattice parameters (Å, degrees): 5.4793 4.5442 5.4793 90.00 90.00 90.00
Last column: magnetic moment on the atom in μB.
Element x y z (fractional)
Ru: 0.0000 0.0000 0.0000  0.07
Y: 0.0000 0.0000 0.5000  -0.02
Y: 0.5000 0.0000 0.0000  -0.02
Cl: 0.5000 0.5000 0.5000  0.01
Os: 0.0000 0.5000 0.0000  0.63

Its density of states at the Fermi level is 0.560 states/eV per atom. Its symmetry is P4/mmm. The uncorrected formation energy comes out at 0.15 eV/atom. For the mass density, the calculation gives 6.1 g cm⁻³.



# 14
The following is a GGA-PBE calculation of OsS2Cl12 after structural relaxation, from Alexandria.

Lattice parameters (Å, degrees): 7.9272 7.9272 7.9272 88.07 88.07 88.07
Last column: magnetic moment on the atom in μB.
Element x y z (fractional)
Os: 0.0000 0.0000 0.0000  1.39
Cl: 0.5242 0.2350 0.2350  0.00
Cl: 0.1020 0.8038 0.8038  0.06
Cl: 0.4758 0.7650 0.7650  0.00
Cl: 0.7650 0.4758 0.7650  0.00
Cl: 0.8038 0.8038 0.1020  0.06
Cl: 0.8038 0.1020 0.8038  0.06
Cl: 0.8980 0.1962 0.1962  0.06
Cl: 0.2350 0.5242 0.2350  0.00
Cl: 0.7650 0.7650 0.4758  0.00
Cl: 0.2350 0.2350 0.5242  0.00
Cl: 0.1962 0.1962 0.8980  0.06
Cl: 0.1962 0.8980 0.1962  0.06
S: 0.7325 0.7325 0.7325  -0.01
S: 0.2675 0.2675 0.2675  -0.01

Its density of states at the Fermi level is 0.328 states/eV per atom. Its symmetry is R-3m. The uncorrected formation energy comes out at -0.27 eV/atom. For the mass density, the calculation gives 2.3 g cm⁻³.



# 15
The following is a GGA-PBE calculation of OsSCl3 after structural relaxation, from Alexandria.

Lattice parameters (Å, degrees): 6.6443 6.0194 8.2354 67.25 65.00 86.97
Last column: magnetic moment on the atom in μB.
Element x y z (fractional)
Os: 0.9271 0.7236 0.0859  0.52
Os: 0.7739 0.0705 0.3922  0.52
S: 0.8350 0.6957 0.8769  0.25
S: 0.4729 0.8336 0.6011  0.25
Cl: 0.2556 0.9890 0.8581  0.01
Cl: 0.6070 0.4424 0.3605  0.01
Cl: 0.8747 0.1081 0.6200  0.01
Cl: 0.0080 0.7651 0.3538  0.01
Cl: 0.7285 0.0638 0.1176  0.01
Cl: 0.1228 0.3798 0.1242  0.01

Its density of states at the Fermi level is 0.193 states/eV per atom. Its symmetry is Cc. The uncorrected formation energy comes out at -0.21 eV/atom. For the mass density, the calculation gives 4.0 g cm⁻³.



# 16
The following is a GGA-PBE calculation of OsSCl3 after structural relaxation, from Alexandria.

Lattice parameters (Å, degrees): 4.9249 4.9249 4.9249 90.00 90.00 90.00
Last column: magnetic moment on the atom in μB.
Element x y z (fractional)
Cl: 0.5000 0.0000 0.0000  0.09
Cl: 0.0000 0.5000 0.0000  0.12
Cl: 0.0000 0.0000 0.5000  0.09
Os: 0.5000 0.5000 0.5000  3.76
S: 0.0000 0.0000 0.0000  -0.02

Its density of states at the Fermi level is 2.390 states/eV per atom. Its symmetry is Pm-3m. The uncorrected formation energy comes out at 1.43 eV/atom. For the mass density, the calculation gives 4.6 g cm⁻³.



# 17
The following is a GGA-PBE calculation of OsS2Cl5 after structural relaxation, from Alexandria.

Lattice parameters (Å, degrees): 4.8258 7.8186 7.9616 78.23 72.16 73.82
Last column: magnetic moment on the atom in μB.
Element x y z (fractional)
Cl: 0.1892 0.9566 0.6786  0.18
Cl: 0.1294 0.6813 0.0531  0.08
Cl: 0.8539 0.0334 0.2660  0.18
Cl: 0.5074 0.0410 0.9635  0.04
Cl: 0.9313 0.3114 0.8988  0.00
S: 0.8928 0.5772 0.4982  0.34
S: 0.6959 0.4141 0.6674  0.26
Os: 0.0230 0.9851 0.9745  1.54

Its density of states at the Fermi level is 0.187 states/eV per atom. Its symmetry is P1. The uncorrected formation energy comes out at -0.12 eV/atom. For the mass density, the calculation gives 2.6 g cm⁻³.



# 18
The following is a GGA-PBE calculation of Os2SCl after structural relaxation, from Alexandria.

Lattice parameters (Å, degrees): 5.1649 5.1649 6.7182 67.39 67.39 90.00
Element x y z (fractional)
Os: 0.3750 0.4226 0.7500
Os: 0.5774 0.1250 0.2500
Os: 0.1726 0.6250 0.2500
Os: 0.8750 0.8274 0.7500
S: 0.2500 0.7500 0.5000
S: 0.5000 0.5000 0.0000
Cl: 0.7500 0.2500 0.5000
Cl: 0.0000 0.0000 0.0000

Its density of states at the Fermi level is 1.030 states/eV per atom. Its symmetry is I-42d. The uncorrected formation energy comes out at 0.94 eV/atom. For the mass density, the calculation gives 9.9 g cm⁻³.



# 19
The following is a GGA-PBE calculation of OsSCl3 after structural relaxation, from Alexandria.

Lattice parameters (Å, degrees): 4.7197 4.7197 4.7197 90.00 90.00 90.00
Element x y z (fractional)
Cl: 0.0000 0.5000 0.0000
Cl: 0.5000 0.0000 0.0000
Cl: 0.0000 0.0000 0.5000
S: 0.5000 0.5000 0.5000
Os: 0.0000 0.0000 0.0000

Its density of states at the Fermi level is 2.161 states/eV per atom. Its symmetry is Pm-3m. The uncorrected formation energy comes out at 0.71 eV/atom. For the mass density, the calculation gives 5.2 g cm⁻³.



# 20
The following is a GGA-PBE calculation of OsS2Cl6 after structural relaxation, from Alexandria.

Lattice parameters (Å, degrees): 6.7630 6.7630 8.6071 66.87 66.87 60.00
Last column: magnetic moment on the atom in μB.
Element x y z (fractional)
S: 0.4782 0.4782 0.5655  -0.10
S: 0.3977 0.3977 0.8070  -0.11
Os: 0.6365 0.6365 0.0903  1.52
Cl: 0.8766 0.5353 0.2646  0.10
Cl: 0.7534 0.9426 0.9135  0.07
Cl: 0.9426 0.3906 0.9135  0.07
Cl: 0.3906 0.7534 0.9135  0.07
Cl: 0.3235 0.8766 0.2646  0.10
Cl: 0.5353 0.3235 0.2646  0.10

Its density of states at the Fermi level is 0.280 states/eV per atom. Its symmetry is R3. The uncorrected formation energy comes out at -0.22 eV/atom. For the mass density, the calculation gives 2.6 g cm⁻³.